# 1
Below is a crystal of YWCl2 relaxed with PBEsol, with properties calculated at the meta-GGA SCAN level.

abc: 3.462 5.151 5.320
angles: 118.06 107.76 92.42
Last column: magnetic moment on the atom in μB.
Positions (direct):
Y: 0.500 0.500 0.000  -0.07
Cl: 0.000 0.000 0.500  0.01
W: 0.000 0.000 0.000  1.21
Cl: 0.500 0.500 0.500  0.01

Output
The value obtained for the formation energy without anion corrections is -0.090 eV per atom. As for the space-group type: C2/m (12). For the energy above the lowest structure with this stoichiometry, the calculation gives 0.505 eV/atom.

***

# 2
Below is a crystal of YWCl2 relaxed with PBEsol, with properties calculated at the meta-GGA SCAN level.

abc: 3.214 4.578 5.281
angles: 90.00 90.02 90.00
Positions (direct):
Y: 0.125 0.500 0.715
Cl: 0.625 0.500 0.291
W: 0.625 0.000 0.425
Cl: 0.125 0.000 0.069

Output
The value obtained for the formation energy without anion corrections is -0.279 eV per atom. As for the space-group type: Pmm2 (25). For the energy above the lowest structure with this stoichiometry, the calculation gives 0.315 eV/atom.

***

# 3
Below is a crystal of YW2Cl relaxed with PBEsol, with properties calculated at the meta-GGA SCAN level.

abc: 3.379 5.326 5.326
angles: 61.35 71.51 71.51
Positions (direct):
W: 0.002 0.998 0.998
W: 0.292 0.208 0.208
Cl: 0.725 0.775 0.775
Y: 0.481 0.519 0.519

Output
The value obtained for the formation energy without anion corrections is 0.570 eV per atom. As for the space-group type: Imm2 (44). For the energy above the lowest structure with this stoichiometry, the calculation gives 0.685 eV/atom.

***

# 4
Below is a crystal of ZnWCl2 relaxed with PBEsol, with properties calculated at the meta-GGA SCAN level.

abc: 2.885 4.647 4.647
angles: 90.00 90.00 90.00
Positions (direct):
W: 0.500 0.500 0.500
Zn: 0.500 0.000 0.000
Cl: 0.000 0.500 0.000
Cl: 0.000 0.000 0.500

Output
The value obtained for the formation energy without anion corrections is 1.017 eV per atom. As for the space-group type: P4/mmm (123). For the energy above the lowest structure with this stoichiometry, the calculation gives 1.017 eV/atom.

***

# 5
Below is a crystal of ZnWCl2 relaxed with PBEsol, with properties calculated at the meta-GGA SCAN level.

abc: 3.039 3.116 9.066
angles: 90.00 90.00 119.19
Last column: magnetic moment on the atom in μB.
Positions (direct):
Cl: 0.000 0.000 0.937  0.00
Zn: 0.500 0.000 0.750  0.00
Cl: 0.500 0.000 0.305  0.02
W: 0.000 0.000 0.508  0.34

Output
The value obtained for the formation energy without anion corrections is 0.000 eV per atom. As for the space-group type: Cmm2 (35). For the energy above the lowest structure with this stoichiometry, the calculation gives 0.000 eV/atom.

***

# 6
Below is a crystal of Zr3WCl relaxed with PBEsol, with properties calculated at the meta-GGA SCAN level.

abc: 4.658 4.658 4.658
angles: 90.00 90.00 90.00
Positions (direct):
Cl: 0.000 0.000 0.000
Zr: 0.000 0.000 0.500
Zr: 0.500 0.000 0.000
Zr: 0.000 0.500 0.000
W: 0.500 0.500 0.500

Output
The value obtained for the formation energy without anion corrections is 0.347 eV per atom. As for the space-group type: Pm-3m (221).